BaAg2BiS4 PBE relaxed; total moment = 0.0 μB/cell; ΔE_f (raw) = -0.613 eV/atom
1.0
-5.6554 4.1006 1.3465
-6.0863 -2.2660 0.1315
-2.7944 0.3962 5.8506
Bi S Ba Ag
1 4 1 2
Cartesian
-7.2681 1.1154 3.6643 Bi
-4.6801 2.0435 3.6420 S
-7.4289 -1.5725 3.1088 S
-8.4436 1.3296 6.1405 S
-8.5197 2.6611 1.7660 S
0.0000 0.0000 0.0000 Ba
-10.9009 1.6754 5.4947 Ag
-3.6353 0.5554 1.8340 Ag